No. 1
NbSnMo2H | PBE | relaxed

Cell lengths 4.2159, 4.2159, 4.0599 Å; angles 90.00, 90.00, 90.00 degrees
With the nearest neighbours (Å) after each atom.
Fractional positions:
Sn1 0.5000 0.5000 0.5000  8 Mo 2.93, 4 Nb 2.98
Mo1 0.5000 0.0000 0.0000  2 H 2.11
Mo2 0.0000 0.5000 0.0000  2 H 2.11
Nb1 0.0000 0.0000 0.5000  2 H 2.03
H1 0.0000 0.0000 0.0000  2 Nb 2.03, 4 Mo 2.11

Crystal system: tetragonal
Electronic total energy (eV per atom): -7.748

---

No. 2
ZrPaNi6 | PBE | relaxed

Cell lengths 4.5209, 5.3175, 5.3175 Å; angles 119.99, 90.00, 90.00 degrees
With the nearest neighbours (Å) after each atom.
Fractional positions:
Ni1 0.5000 0.9102 0.5706  8 Ni 2.56-2.76, 2 Pa 2.66, 2 Zr 2.77
Ni2 0.5000 0.9103 0.0897  8 Ni 2.56-2.76, 2 Pa 2.66, 2 Zr 2.77
Ni3 0.5000 0.4294 0.0898  8 Ni 2.56-2.76, 2 Pa 2.66, 2 Zr 2.77
Ni4 0.0000 0.5934 0.4066  6 Ni 2.50-2.69, 2 Zr 2.66, 2 Pa 2.79
Ni5 0.0000 0.0631 0.4066  6 Ni 2.50-2.69, 2 Zr 2.66, 2 Pa 2.79
Ni6 0.0000 0.5934 0.9369  6 Ni 2.50-2.69, 2 Zr 2.66, 2 Pa 2.79
Pa1 0.5000 0.4166 0.5834  12 Ni 2.66-2.79
Zr1 0.0000 0.0833 0.9167  12 Ni 2.66-2.77

Crystal system: hexagonal
Energy of formation (kJ per mole of atoms): -44.82

---

No. 3
Cs3NaTl2Br6 | PBE | relaxed

Cell lengths 8.5026, 8.5026, 8.5017 Å; angles 99.66, 99.66, 119.91 degrees
With the nearest neighbours (Å) after each atom.
Fractional positions:
Br1 0.3869 0.0719 0.2163  1 Na 3.19, 2 Tl 3.40-3.41
Br2 0.9281 0.6131 0.7837  1 Na 3.19, 2 Tl 3.40-3.41
Br3 0.2412 0.2412 0.7793  1 Na 3.21, 2 Tl 3.39
Br4 0.0719 0.3869 0.2163  1 Na 3.19, 2 Tl 3.40-3.41
Br5 0.6131 0.9281 0.7837  1 Na 3.19, 2 Tl 3.40-3.41
Br6 0.7588 0.7588 0.2207  1 Na 3.21, 2 Tl 3.39
Tl1 0.6652 0.3348 0.0000  6 Br 3.39-3.41
Tl2 0.3348 0.6652 0.0000  6 Br 3.39-3.41
Cs1 0.1717 0.8283 0.5000  6 Br 3.58-3.70
Cs2 0.8283 0.1717 0.5000  6 Br 3.58-3.70
Cs3 0.5000 0.5000 0.5000  6 Br 3.57-3.74
Na1 0.0000 0.0000 0.0000  6 Br 3.19-3.21

Crystal system: monoclinic
Energy relative to the elements, uncorrected (eV per atom): -1.4156

---

No. 4
PmPr3Ho5 | PBE | relaxed

Cell lengths 9.5942, 9.5942, 11.7722 Å; angles 52.13, 52.13, 72.31 degrees
With the nearest neighbours (Å) after each atom.
Fractional positions:
Ho1 0.3482 0.8454 0.2460  3 Ho 3.30-3.65, 2 Pr 3.53-3.60
Ho2 0.4936 0.4936 0.2224  3 Pr 3.21-3.42, 3 Ho 3.31-3.35, 1 Pm 3.41
Ho3 0.7417 0.2583 0.0000  1 Pr 2.92
Ho4 0.6518 0.1546 0.7540  3 Ho 3.30-3.65, 2 Pr 3.53-3.60
Ho5 0.1546 0.6518 0.7540  3 Ho 3.30-3.65, 2 Pr 3.53-3.60
Ho6 0.8454 0.3482 0.2460  3 Ho 3.30-3.65, 2 Pr 3.53-3.60
Ho7 0.2583 0.7417 0.0000  1 Pr 2.92
Ho8 0.8151 0.8151 0.9619  3 Pr 3.22-3.37, 3 Ho 3.30-3.31, 1 Pm 3.45
Ho9 0.5064 0.5064 0.7776  3 Pr 3.21-3.42, 3 Ho 3.31-3.35, 1 Pm 3.41
Ho10 0.1849 0.1849 0.0381  3 Pr 3.22-3.37, 3 Ho 3.30-3.31, 1 Pm 3.45
Pr1 0.0000 0.0000 0.0000  4 Ho 2.92-3.22
Pr2 0.3386 0.3386 0.6361  1 Pm 3.18, 2 Pr 3.30-3.42, 2 Ho 3.31-3.42
Pr3 0.6614 0.6614 0.3639  1 Pm 3.18, 2 Pr 3.30-3.42, 2 Ho 3.31-3.42
Pr4 0.0000 0.0000 0.5000  2 Pr 3.02
Pr5 0.7004 0.7004 0.8078  1 Pr 3.02, 3 Ho 3.21-3.37
Pr6 0.2996 0.2996 0.1922  1 Pr 3.02, 3 Ho 3.21-3.37
Pm1 0.1573 0.1573 0.5963  4 Pr 3.18-3.40, 2 Ho 3.41-3.45
Pm2 0.8427 0.8427 0.4037  4 Pr 3.18-3.40, 2 Ho 3.41-3.45

Crystal system: monoclinic
Energy of formation (kJ per mole of atoms): 49.29

---

No. 5
MnCoReCSBr | PBE | relaxed

Cell lengths 2.9839, 5.9194, 5.3626 Å; angles 117.10, 89.97, 90.31 degrees
With the nearest neighbours (Å) after each atom.
Fractional positions:
Mn1 0.7840 0.0303 0.0496  2 C 2.10
Br1 0.7767 0.1298 0.6557  1 Mn 2.44, 1 Re 2.52, 1 Co 2.55
S1 0.2746 0.4257 0.3260  2 Co 2.35-2.36, 2 Re 2.39, 2 Mn 2.57-2.62
Re1 0.7776 0.6969 0.2381  2 C 2.15-2.16, 2 S 2.39
C1 0.2793 0.7598 0.9861  2 Co 2.04, 2 Mn 2.10, 2 Re 2.15-2.16
Co1 0.7784 0.5792 0.7066  2 C 2.04

Crystal system: triclinic
Energy above the most stable polymorph in this dataset (meV/atom): 323
Energy relative to the elements, uncorrected (eV per atom): 0.2435

---

No. 6
Ba12NaAg6 | PBE | relaxed

Cell lengths 10.4701, 10.4701, 10.4701 Å; angles 109.47, 109.47, 109.47 degrees
With the nearest neighbours (Å) after each atom.
Fractional positions:
Ba1 0.8152 0.3071 0.1223  3 Ag 3.33-3.53
Ba2 0.4918 0.1848 0.3071  3 Ag 3.33-3.53
Ba3 0.1848 0.3071 0.4918  3 Ag 3.33-3.53
Ba4 0.6929 0.5082 0.8152  3 Ag 3.33-3.53
Ba5 0.3071 0.1223 0.8152  3 Ag 3.33-3.53
Ba6 0.1223 0.8152 0.3071  3 Ag 3.33-3.53
Ba7 0.5082 0.8152 0.6929  3 Ag 3.33-3.53
Ba8 0.3071 0.4918 0.1848  3 Ag 3.33-3.53
Ba9 0.1848 0.6929 0.8777  3 Ag 3.33-3.53
Ba10 0.8777 0.1848 0.6929  3 Ag 3.33-3.53
Ba11 0.6929 0.8777 0.1848  3 Ag 3.33-3.53
Ba12 0.8152 0.6929 0.5082  3 Ag 3.33-3.53
Ag1 0.3818 0.5000 0.8818  1 Ag 2.86
Ag2 0.6182 0.5000 0.1182  1 Ag 2.86
Ag3 0.1182 0.6182 0.5000  1 Ag 2.86
Ag4 0.8818 0.3818 0.5000  1 Ag 2.86
Ag5 0.5000 0.8818 0.3818  1 Ag 2.86
Ag6 0.5000 0.1182 0.6182  1 Ag 2.86
Na1 0.0000 0.0000 0.0000  12 Ba 4.33

Crystal system: cubic
Energy of formation (kJ per mole of atoms): -15.96
Energy above the most stable polymorph in this dataset (meV/atom): 0

---

No. 7
CuMoSeN2 | PBE | relaxed

Cell lengths 3.8390, 3.8390, 5.4242 Å; angles 90.00, 90.00, 90.00 degrees
With the nearest neighbours (Å) after each atom.
Fractional positions:
Mo1 0.0000 0.0000 0.0000  4 N 1.92
N1 0.0000 0.5000 0.0000  2 Mo 1.92
N2 0.5000 0.0000 0.0000  2 Mo 1.92
Cu1 0.5000 0.5000 0.5000  4 Se 2.71
Se1 0.0000 0.0000 0.5000  2 Mo 2.71, 4 Cu 2.71

Crystal system: tetragonal
Energy above the most stable polymorph in this dataset (meV/atom): 0
Energy relative to the elements, uncorrected (eV per atom): 0.5074

---

No. 8
CaMg2Sn2Hg2 | PBE | relaxed

Cell lengths 4.9466, 4.9466, 8.8813 Å; angles 73.83, 73.83, 60.00 degrees
With the nearest neighbours (Å) after each atom.
Fractional positions:
Hg1 0.4388 0.4388 0.6836  3 Mg 2.98, 3 Sn 2.98, 1 Hg 3.09
Hg2 0.5612 0.5612 0.3164  3 Mg 2.98, 3 Sn 2.98, 1 Hg 3.09
Sn1 0.7382 0.7382 0.7855  3 Hg 2.98, 4 Mg 3.11-3.32
Sn2 0.2618 0.2618 0.2145  3 Hg 2.98, 4 Mg 3.11-3.32
Ca1 0.0000 0.0000 0.0000  6 Sn 3.38, 2 Mg 3.50
Mg1 0.1386 0.1386 0.5842  3 Hg 2.98, 4 Sn 3.11-3.32, 3 Mg 3.19
Mg2 0.8614 0.8614 0.4158  3 Hg 2.98, 4 Sn 3.11-3.32, 3 Mg 3.19

Crystal system: trigonal
Energy of formation (kJ per mole of atoms): -21.40

---

No. 9
Fe2AsIr | PBE | relaxed

Cell lengths 4.4468, 4.4468, 4.4468 Å; angles 130.41, 130.41, 72.75 degrees
With the nearest neighbours (Å) after each atom.
Fractional positions:
Ir1 0.2500 0.7500 0.5000  8 Fe 2.59, 4 As 2.64
Fe1 0.5000 0.5000 0.0000  4 As 2.59, 4 Ir 2.59, 4 Fe 2.64
Fe2 0.0000 0.0000 0.0000  4 Ir 2.59, 4 As 2.59, 4 Fe 2.64
As1 0.7500 0.2500 0.5000  8 Fe 2.59, 4 Ir 2.64

Crystal system: tetragonal
Energy of formation (kJ per mole of atoms): 17.13

---

No. 10
SiAu2Cl | PBE | relaxed

Cell lengths 3.4275, 3.4275, 6.8579 Å; angles 90.00, 90.00, 90.00 degrees
With the nearest neighbours (Å) after each atom.
Fractional positions:
Si1 0.5000 0.5000 0.8307  5 Au 2.63-2.65
Au1 0.0000 0.0000 0.9801  4 Si 2.63, 4 Au 2.92
Au2 0.5000 0.5000 0.2178  1 Si 2.65, 4 Au 2.92
Cl1 0.0000 0.0000 0.4714  4 Au 2.98

Crystal system: tetragonal
Energy above the most stable polymorph in this dataset (meV/atom): 278
Energy relative to the elements, uncorrected (eV per atom): 0.1999

---

No. 11
Pm6Nd8Er | PBE | relaxed

Cell lengths 9.2871, 9.2871, 8.8406 Å; angles 58.31, 58.31, 60.00 degrees
With the nearest neighbours (Å) after each atom.
Fractional positions:
Pm1 0.0978 0.2404 0.1220  4 Nd 3.44-3.85, 1 Er 3.54, 4 Pm 3.63-3.84
Pm2 0.4602 0.9022 0.8780  4 Nd 3.44-3.85, 1 Er 3.54, 4 Pm 3.63-3.84
Pm3 0.9022 0.7596 0.8780  4 Nd 3.44-3.85, 1 Er 3.54, 4 Pm 3.63-3.84
Pm4 0.5398 0.0978 0.1220  4 Nd 3.44-3.85, 1 Er 3.54, 4 Pm 3.63-3.84
Pm5 0.2404 0.5398 0.1220  4 Nd 3.44-3.85, 1 Er 3.54, 4 Pm 3.63-3.84
Pm6 0.7596 0.4602 0.8780  4 Nd 3.44-3.85, 1 Er 3.54, 4 Pm 3.63-3.84
Nd1 0.7508 0.7171 0.4192  3 Pm 3.46-3.85, 5 Nd 3.50-3.53, 1 Er 3.58
Nd2 0.7171 0.1129 0.4192  3 Pm 3.46-3.85, 5 Nd 3.50-3.53, 1 Er 3.58
Nd3 0.5779 0.5779 0.2664  4 Nd 3.28-3.50, 3 Pm 3.44
Nd4 0.2829 0.8871 0.5808  3 Pm 3.46-3.85, 5 Nd 3.50-3.53, 1 Er 3.58
Nd5 0.2492 0.2829 0.5808  3 Pm 3.46-3.85, 5 Nd 3.50-3.53, 1 Er 3.58
Nd6 0.1129 0.7508 0.4192  3 Pm 3.46-3.85, 5 Nd 3.50-3.53, 1 Er 3.58
Nd7 0.8871 0.2492 0.5808  3 Pm 3.46-3.85, 5 Nd 3.50-3.53, 1 Er 3.58
Nd8 0.4221 0.4221 0.7336  4 Nd 3.28-3.50, 3 Pm 3.44
Er1 0.0000 0.0000 0.0000  6 Pm 3.54, 6 Nd 3.58

Crystal system: trigonal
Energy of formation (kJ per mole of atoms): 10.71

---

No. 12
NaAg2HgF6 | PBE | relaxed

Cell lengths 5.7498, 6.0268, 9.0231 Å; angles 90.00, 87.85, 90.00 degrees
With the nearest neighbours (Å) after each atom.
Fractional positions:
Na1 0.0000 0.5000 0.5000  4 F 2.25-2.30
Na2 0.5000 0.0000 0.0000  4 F 2.25-2.30
Ag1 0.4829 0.4268 0.2251  4 F 2.23-2.39
Ag2 0.9829 0.0732 0.7251  4 F 2.23-2.39
Ag3 0.5171 0.5732 0.7749  4 F 2.23-2.39
Ag4 0.0171 0.9268 0.2749  4 F 2.23-2.39
F1 0.6867 0.1113 0.2459  2 Ag 2.23-2.24
F2 0.7887 0.7880 0.8873  2 Ag 2.29-2.49, 1 Na 2.30, 1 Hg 2.37
F3 0.3133 0.8887 0.7541  2 Ag 2.23-2.24
F4 0.1867 0.3887 0.7459  2 Ag 2.23-2.24
F5 0.8133 0.6113 0.2541  2 Ag 2.23-2.24
F6 0.2113 0.2120 0.1127  2 Ag 2.29-2.49, 1 Na 2.30, 1 Hg 2.37
F7 0.7113 0.2880 0.6127  2 Ag 2.29-2.49, 1 Na 2.30, 1 Hg 2.37
F8 0.1977 0.1921 0.4299  1 Hg 2.20, 1 Na 2.25, 1 Ag 2.39
F9 0.3023 0.6921 0.0701  1 Hg 2.20, 1 Na 2.25, 1 Ag 2.39
F10 0.6977 0.3079 0.9299  1 Hg 2.20, 1 Na 2.25, 1 Ag 2.39
F11 0.8023 0.8079 0.5701  1 Hg 2.20, 1 Na 2.25, 1 Ag 2.39
F12 0.2887 0.7120 0.3873  2 Ag 2.29-2.49, 1 Na 2.30, 1 Hg 2.37
Hg1 0.5000 0.0000 0.5000  4 F 2.20-2.37
Hg2 0.0000 0.5000 0.0000  4 F 2.20-2.37

Crystal system: monoclinic
Energy relative to the elements, uncorrected (eV per atom): -1.5051

---

No. 13
Tl4GaHg4 | PBE | relaxed

Cell lengths 6.5332, 7.9784, 6.5332 Å; angles 65.83, 90.00, 114.17 degrees
With the nearest neighbours (Å) after each atom.
Fractional positions:
Hg1 0.6279 0.7638 0.3721  1 Ga 2.81, 3 Tl 3.12
Hg2 0.8641 0.2362 0.6279  1 Ga 2.81, 3 Tl 3.12
Hg3 0.1359 0.7638 0.8641  1 Ga 2.81, 3 Tl 3.12
Hg4 0.3721 0.2362 0.1359  1 Ga 2.81, 3 Tl 3.12
Tl1 0.8721 0.2854 0.1279  1 Ga 3.11, 6 Hg 3.12-3.44
Tl2 0.4133 0.2854 0.5867  1 Ga 3.11, 6 Hg 3.12-3.44
Tl3 0.1279 0.7146 0.4133  1 Ga 3.11, 6 Hg 3.12-3.44
Tl4 0.5867 0.7146 0.8721  1 Ga 3.11, 6 Hg 3.12-3.44
Ga1 0.0000 0.0000 0.0000  4 Hg 2.81, 4 Tl 3.11

Crystal system: tetragonal
Energy of formation (kJ per mole of atoms): 5.27

---

No. 14
TiIn2BRu | PBE | relaxed

Cell lengths 5.1497, 4.5147, 5.1497 Å; angles 90.00, 90.00, 90.00 degrees
With the nearest neighbours (Å) after each atom.
Fractional positions:
Ti1 0.0000 0.5000 0.0000  2 Ru 2.26
Ru1 0.0000 0.0000 0.0000  2 Ti 2.26
B1 0.5000 0.5000 0.5000  8 In 3.42, 4 Ti 3.64
In1 0.5000 0.0000 0.0000  2 Ru 2.57
In2 0.0000 0.0000 0.5000  2 Ru 2.57

Crystal system: tetragonal
Energy of formation (kJ per mole of atoms): 101.78

---

No. 15
H2IrRuO | PBE | relaxed

Cell lengths 3.2384, 4.8961, 3.2384 Å; angles 90.00, 90.00, 90.00 degrees
With the nearest neighbours (Å) after each atom.
Fractional positions:
H1 0.0000 0.0000 0.5000  2 Ru 1.62
H2 0.5000 0.0000 0.0000  2 Ru 1.62
Ir1 0.0000 0.5000 0.0000  4 O 2.29, 2 Ru 2.45
O1 0.5000 0.5000 0.5000  4 Ir 2.29
Ru1 0.0000 0.0000 0.0000  4 H 1.62

Crystal system: tetragonal
Energy above the most stable polymorph in this dataset (meV/atom): 241

---

No. 16
CaOsC | PBE | relaxed

Cell lengths 3.8034, 3.8309, 8.1264 Å; angles 89.99, 90.02, 90.00 degrees
With the nearest neighbours (Å) after each atom.
Fractional positions:
C1 0.8137 0.8664 0.0275  4 Os 2.06-2.15
C2 0.3135 0.3665 0.8117  4 Os 2.06-2.15
Ca1 0.8137 0.8664 0.6173  4 Os 3.04-3.18, 5 C 3.13-3.33
Ca2 0.3135 0.3665 0.2219  4 Os 3.04-3.18, 5 C 3.13-3.33
Os1 0.3136 0.8665 0.9311  4 C 2.06-2.15
Os2 0.8135 0.3665 0.9081  4 C 2.06-2.15

Crystal system: orthorhombic
Energy of formation (kJ per mole of atoms): 28.93
Energy above the most stable polymorph in this dataset (meV/atom): 185

---

No. 17
Zn2Ga2Tc | PBE | relaxed

Cell lengths 6.7256, 6.7256, 3.4480 Å; angles 90.00, 90.00, 90.00 degrees
With the nearest neighbours (Å) after each atom.
Fractional positions:
Ga1 0.8555 0.6445 0.0000  6 Zn 2.54-2.67, 2 Tc 2.58, 1 Ga 2.75
Ga2 0.3555 0.8555 0.0000  6 Zn 2.54-2.67, 2 Tc 2.58, 1 Ga 2.75
Ga3 0.1445 0.3555 0.0000  6 Zn 2.54-2.67, 2 Tc 2.58, 1 Ga 2.75
Ga4 0.6445 0.1445 0.0000  6 Zn 2.54-2.67, 2 Tc 2.58, 1 Ga 2.75
Zn1 0.6588 0.8412 0.5000  6 Ga 2.54-2.67
Zn2 0.3412 0.1588 0.5000  6 Ga 2.54-2.67
Zn3 0.1588 0.6588 0.5000  6 Ga 2.54-2.67
Zn4 0.8412 0.3412 0.5000  6 Ga 2.54-2.67
Tc1 0.5000 0.5000 0.0000  4 Ga 2.58
Tc2 0.0000 0.0000 0.0000  4 Ga 2.58

Crystal system: tetragonal
Energy of formation (kJ per mole of atoms): 17.96
Energy above the most stable polymorph in this dataset (meV/atom): 241

---

No. 18
LaZn2SnSe | PBE | relaxed

Cell lengths 4.9507, 5.7463, 4.9507 Å; angles 90.00, 90.00, 90.00 degrees
With the nearest neighbours (Å) after each atom.
Fractional positions:
Se1 0.0000 0.5000 0.0000  2 Sn 2.87
La1 0.5000 0.5000 0.5000  4 Se 3.50, 8 Zn 3.79
Sn1 0.0000 0.0000 0.0000  4 Zn 2.48
Zn1 0.5000 0.0000 0.0000  2 Sn 2.48
Zn2 0.0000 0.0000 0.5000  2 Sn 2.48

Crystal system: tetragonal
Energy relative to the elements, uncorrected (eV per atom): -0.0602

---

No. 19
SrHf2TaO8 | PBE | relaxed

Cell lengths 4.9243, 4.9222, 6.7997 Å; angles 90.00, 90.00, 88.69 degrees
With the nearest neighbours (Å) after each atom.
Fractional positions:
O1 0.2030 0.7962 0.2055  1 Ta 1.98, 1 Hf 2.06
O2 0.2968 0.2961 0.0000  1 Ta 2.09, 2 Hf 2.18
O3 0.7032 0.7039 0.0000  1 Ta 2.09, 2 Hf 2.18
O4 0.2030 0.7962 0.7945  1 Ta 1.98, 1 Hf 2.06
O5 0.7970 0.2038 0.7945  1 Ta 1.98, 1 Hf 2.06
O6 0.7970 0.2038 0.2055  1 Ta 1.98, 1 Hf 2.06
O7 0.3367 0.3352 0.5000  2 Hf 2.10, 1 O 2.31
O8 0.6633 0.6648 0.5000  2 Hf 2.10, 1 O 2.31
Ta1 0.0000 0.0000 0.0000  6 O 1.98-2.09
Sr1 0.0000 0.0000 0.5000  6 O 2.37-2.44
Hf1 0.5000 0.5000 0.7583  6 O 2.06-2.18
Hf2 0.5000 0.5000 0.2417  6 O 2.06-2.18

Crystal system: orthorhombic
Energy relative to the elements, uncorrected (eV per atom): -2.9860

---

No. 20
LiPm2MnS5 | PBE | relaxed

Cell lengths 3.9343, 8.7127, 10.7105 Å; angles 90.00, 90.00, 103.05 degrees
With the nearest neighbours (Å) after each atom.
Fractional positions:
S1 0.0340 0.0681 0.0605  2 Mn 2.36
S2 0.4818 0.9635 0.2994  1 Mn 2.36
S3 0.6873 0.3747 0.1495  1 Mn 2.38, 2 Li 2.60
S4 0.3588 0.7177 0.9973  1 Li 2.33
S5 0.9660 0.9319 0.5605  2 Mn 2.36
S6 0.5182 0.0365 0.7994  1 Mn 2.36
S7 0.2986 0.5971 0.3410  1 Mn 2.38, 2 Li 2.63
S8 0.7014 0.4029 0.8410  1 Mn 2.38, 2 Li 2.63
S9 0.6412 0.2823 0.4973  1 Li 2.33
S10 0.3127 0.6253 0.6495  1 Mn 2.38, 2 Li 2.60
Pm1 0.8769 0.7539 0.1862  7 S 2.84-2.99
Pm2 0.8880 0.7759 0.8057  8 S 2.88-3.19
Pm3 0.1120 0.2241 0.3057  8 S 2.88-3.19
Pm4 0.1231 0.2461 0.6862  7 S 2.84-2.99
Mn1 0.4060 0.8120 0.4843  5 S 2.36-2.38
Mn2 0.5940 0.1880 0.9843  5 S 2.36-2.38
Li1 0.2214 0.4427 0.0001  3 S 2.33-2.60
Li2 0.7786 0.5573 0.5001  3 S 2.33-2.60

Crystal system: orthorhombic
Energy relative to the elements, uncorrected (eV per atom): -1.5429